Entry 1:
VASP calculation (PBE-GGA) on Li2VPd8 after structural relaxation.

Lattice parameters (Å, degrees): 3.958 6.132 7.221 105.38 105.91 90.00
Site moments in Bohr magnetons follow the coordinates.
Sites, in units of the cell vectors:
Pd  0.406  0.550  0.813  -0.01
Pd  0.594  0.450  0.187  -0.01
Pd  0.320  0.084  0.639  -0.03
Pd  0.044  0.730  0.088  -0.03
Pd  0.956  0.270  0.912  -0.03
Pd  0.680  0.916  0.361  -0.03
Pd  0.136  0.181  0.273  -0.02
Pd  0.864  0.819  0.727  -0.02
V  0.500  0.000  0.000  0.68
Li  0.225  0.642  0.450  0.00
Li  0.775  0.358  0.550  0.00

The calculation puts the density of states at the Fermi level at 9.89 states/eV per cell. As for the space group: C2/m, No. 12. For the calculated formation energy, the calculation gives -0.261 eV per atom. For the energy, the calculation gives -57.356 eV/f.u.

Entry 2:
VASP calculation (PBE-GGA) on CeSm5Sn5 after structural relaxation.

Lattice parameters (Å, degrees): 6.295 7.812 8.737 106.19 90.00 113.76
Site moments in Bohr magnetons follow the coordinates.
Sites, in units of the cell vectors:
Sn  0.162  0.325  0.829  0.00
Sn  0.836  0.672  0.667  0.01
Sn  0.164  0.328  0.333  0.01
Sn  0.500  0.000  0.000  0.01
Sn  0.838  0.675  0.171  0.00
Sm  0.331  0.662  0.667  0.02
Sm  0.669  0.338  0.333  0.02
Sm  0.669  0.339  0.836  0.03
Sm  0.331  0.661  0.164  0.03
Sm  0.000  0.000  0.500  0.07
Ce  0.000  0.000  0.000  0.40

The calculation puts the density of states at the Fermi level at 13.04 states/eV per cell. As for the space group: C2/m, No. 12. For the calculated formation energy, the calculation gives -0.454 eV per atom. For the energy, the calculation gives -54.534 eV/f.u.

Entry 3:
VASP calculation (PBE-GGA) on Sc2ReBr after structural relaxation.

Lattice parameters (Å, degrees): 5.334 5.334 4.629 90.02 90.02 35.77
Sites, in units of the cell vectors:
Re  0.276  0.276  0.125
Sc  0.736  0.736  0.625
Sc  0.023  0.023  0.125
Br  0.466  0.466  0.625

The formation energy from raw total energies comes out at -205 meV per atom. Its energy relative to the lowest polymorph listed for this composition is 330 meV/atom. The calculation puts the density of states at the Fermi level at 1.30 states/eV per cell. As for the space group: Amm2, No. 38. For the energy, the calculation gives -27.605 eV/f.u.